(1)
Computed, not measured: crystalline BaLiErF6 at its relaxed geometry at the PBE-GGA level of DFT.

Computed properties:
density of states at the Fermi level = 0.000 states/eV per cell
energy = -53.53 eV per formula unit
M_tot = 0.0 μB/cell

a b c (Å): 5.603 5.603 11.346
angles (deg): 90.00 90.00 120.00
Positions (direct):
Ba1 0.000 0.000 0.000
Ba2 0.000 0.000 0.500
Li1 0.333 0.667 0.250
Li2 0.667 0.333 0.750
Er1 0.333 0.667 0.750
Er2 0.667 0.333 0.250
F1 0.007 0.373 0.145
F2 0.007 0.634 0.355
F3 0.366 0.373 0.355
F4 0.366 0.993 0.145
F5 0.373 0.007 0.645
F6 0.373 0.366 0.855
F7 0.627 0.634 0.145
F8 0.627 0.993 0.355
F9 0.634 0.007 0.855
F10 0.634 0.627 0.645
F11 0.993 0.366 0.645
F12 0.993 0.627 0.855

(2)
Computed, not measured: crystalline Ba2Li3ErF12 at its relaxed geometry at the PBE-GGA level of DFT.

Computed properties:
density of states at the Fermi level = 17.541 states/eV per cell
energy = -91.54 eV per formula unit
M_tot = 2.1 μB/cell

a b c (Å): 7.208 7.208 7.208
angles (deg): 57.73 57.73 57.73
Positions (direct):
Ba1 0.108 0.108 0.108
Ba2 0.892 0.892 0.892
Li1 0.000 0.500 0.500
Li2 0.500 0.000 0.500
Li3 0.500 0.500 0.000
Er1 0.500 0.500 0.500
F1 0.105 0.633 0.633
F2 0.223 0.223 0.646
F3 0.223 0.646 0.223
F4 0.354 0.777 0.777
F5 0.367 0.367 0.895
F6 0.367 0.895 0.367
F7 0.633 0.105 0.633
F8 0.633 0.633 0.105
F9 0.646 0.223 0.223
F10 0.777 0.354 0.777
F11 0.777 0.777 0.354
F12 0.895 0.367 0.367

(3)
Computed, not measured: crystalline Ba3Er2O4F3 at its relaxed geometry at the PBE-GGA level of DFT.

Computed properties:
density of states at the Fermi level = 3.029 states/eV per cell
energy = -78.53 eV per formula unit
M_tot = 0.0 μB/cell

a b c (Å): 12.261 12.261 12.261
angles (deg): 159.91 159.78 28.65
Positions (direct):
Ba1 0.000 0.000 0.000
Ba2 0.198 0.198 0.000
Ba3 0.802 0.802 0.000
Er1 0.398 0.398 0.000
Er2 0.602 0.602 0.000
O1 0.086 0.586 0.500
O2 0.308 0.308 0.000
O3 0.692 0.692 0.000
O4 0.914 0.414 0.500
F1 0.421 0.921 0.500
F2 0.500 0.500 0.000
F3 0.579 0.079 0.500

(4)
Computed, not measured: crystalline BaErSe2F at its relaxed geometry at the PBE-GGA level of DFT.

Computed properties:
density of states at the Fermi level = 1.310 states/eV per cell
energy = -27.54 eV per formula unit
M_tot = 0.0 μB/cell

a b c (Å): 4.208 4.208 14.946
angles (deg): 90.00 90.00 90.00
Positions (direct):
Ba1 0.250 0.250 0.109
Ba2 0.750 0.750 0.891
Er1 0.250 0.250 0.613
Er2 0.750 0.750 0.387
Se1 0.250 0.250 0.412
Se2 0.250 0.250 0.786
Se3 0.750 0.750 0.214
Se4 0.750 0.750 0.588
F1 0.250 0.750 0.000
F2 0.750 0.250 0.000

Formation energy from raw total energies for the records above, in order: -33.9, -54.9, -38.2, -12.2 eV/f.u.
Volume for the records above, in order: 308.44, 250.99, 218.74, 264.68 Å³/cell